1.
# CuP2PbO6

A relaxed CuP2PbO6 crystal (GGA-PBE, Alexandria via LeMat-Bulk).

Summary:
- total moment (μB per formula unit) = 0.8
- uncorrected formation energy (eV/atom) = -1.36
- VASP energy (eV/atom) = -6.20
- calculated volume (Å³/cell) = 430.65

Lattice parameters (Å, degrees): 5.2872 5.2872 17.7884 90.00 90.00 120.00
Last column: nearest neighbours and their distance in Å.
Space group R-3 (No. 148, hexagonal axes)
Asymmetric unit:
Cu  0.0000  0.0000  0.0000  6 O 2.17
P  0.0000  0.0000  0.2458  3 O 1.54
Pb  0.0000  0.0000  0.5000  6 O 2.66
O  0.0287  0.6260  0.4049  1 P 1.54



2.
# CuPPbO2

A relaxed CuPPbO2 crystal (GGA-PBE, Alexandria via LeMat-Bulk).

Summary:
- total moment (μB per formula unit) = 0.3
- uncorrected formation energy (eV/atom) = 0.04
- offset from the most stable computed form (meV per atom) = 0
- VASP energy (eV/atom) = -4.59
- calculated volume (Å³/cell) = 71.99

Lattice parameters (Å, degrees): 3.9353 3.9353 4.6489 90.00 90.00 90.00
Last column: nearest neighbours and their distance in Å.
Space group P4/mmm (No. 123)
Asymmetric unit:
Cu  0.0000  0.0000  0.0000  4 O 1.97
P  0.0000  0.0000  0.5000  2 Cu 2.32
Pb  0.5000  0.5000  0.5000  4 P 2.78, 8 O 3.05
O  0.0000  0.5000  0.0000  2 Cu 1.97



3.
# CuPPbO4

A relaxed CuPPbO4 crystal (GGA-PBE, Alexandria via LeMat-Bulk).

Summary:
- total moment (μB per formula unit) = 0.0
- uncorrected formation energy (eV/atom) = -1.50
- VASP energy (eV/atom) = -6.22
- calculated volume (Å³/cell) = 207.29

Lattice parameters (Å, degrees): 5.9043 5.5156 7.0012 90.00 114.61 90.00
Last column: nearest neighbours and their distance in Å.
Space group P2_1/m (No. 11)
Asymmetric unit:
Cu  0.2323  0.2500  0.2836  3 O 1.99-2.10
P  0.4169  0.7500  0.2800  4 O 1.53-1.58
Pb  0.2622  0.7500  0.7514  3 O 2.39-2.56
O  0.2627  0.7500  0.4100  1 P 1.53
O  0.2944  0.2500  0.5860  1 P 1.57
O  0.3502  0.5191  0.1329  1 P 1.58



4.
# CuPPbO2

A relaxed CuPPbO2 crystal (GGA-PBE, Alexandria via LeMat-Bulk).

Summary:
- total moment (μB per formula unit) = 0.9
- uncorrected formation energy (eV/atom) = 0.51
- offset from the most stable computed form (meV per atom) = 471
- VASP energy (eV/atom) = -4.11
- calculated volume (Å³/cell) = 96.13

Lattice parameters (Å, degrees): 4.0683 4.0683 5.8083 90.00 90.00 90.00
Last column: nearest neighbours and their distance in Å.
Space group P4/mmm (No. 123)
Asymmetric unit:
Cu  0.0000  0.0000  0.0000  4 P 2.88
P  0.5000  0.5000  0.0000  4 Cu 2.88, 2 Pb 2.90
Pb  0.5000  0.5000  0.5000  4 O 2.03
O  0.0000  0.5000  0.5000  2 Pb 2.03



5.
# CuPPdO2

A relaxed CuPPdO2 crystal (GGA-PBE, Alexandria via LeMat-Bulk).

Summary:
- total moment (μB per formula unit) = 1.6
- uncorrected formation energy (eV/atom) = 0.45
- offset from the most stable computed form (meV per atom) = 121
- VASP energy (eV/atom) = -4.48
- calculated volume (Å³/cell) = 75.00

Lattice parameters (Å, degrees): 3.7962 3.7962 5.2044 90.00 90.00 90.00
Last column: nearest neighbours and their distance in Å.
Space group P4/mmm (No. 123)
Asymmetric unit:
Cu  0.0000  0.0000  0.0000  4 P 2.68
P  0.5000  0.5000  0.0000  2 Pd 2.60, 4 Cu 2.68
Pd  0.5000  0.5000  0.5000  4 O 1.90
O  0.0000  0.5000  0.5000  2 Pd 1.90



6.
# CuP2PdO

A relaxed CuP2PdO crystal (GGA-PBE, Alexandria via LeMat-Bulk).

Summary:
- total moment (μB per formula unit) = 0.8
- uncorrected formation energy (eV/atom) = 0.73
- offset from the most stable computed form (meV per atom) = 247
- VASP energy (eV/atom) = -4.28
- calculated volume (Å³/cell) = 85.92

Lattice parameters (Å, degrees): 4.7730 4.7730 3.7714 90.00 90.00 90.00
Last column: nearest neighbours and their distance in Å.
Space group P4/mmm (No. 123)
Asymmetric unit:
Cu  0.0000  0.0000  0.0000  8 P 3.04, 4 O 3.38
P  0.0000  0.5000  0.5000  2 Pd 2.39
Pd  0.5000  0.5000  0.5000  2 O 1.89
O  0.5000  0.5000  0.0000  2 Pd 1.89



7.
# CuPPdO2

A relaxed CuPPdO2 crystal (GGA-PBE, Alexandria via LeMat-Bulk).

Summary:
- total moment (μB per formula unit) = 1.8
- uncorrected formation energy (eV/atom) = 0.33
- offset from the most stable computed form (meV per atom) = 0
- VASP energy (eV/atom) = -4.60
- calculated volume (Å³/cell) = 67.50

Lattice parameters (Å, degrees): 3.6291 3.6291 5.1249 90.00 90.00 90.00
Last column: nearest neighbours and their distance in Å.
Space group P4/mmm (No. 123)
Asymmetric unit:
Cu  0.0000  0.0000  0.0000  4 O 1.81
P  0.0000  0.0000  0.5000  2 Cu 2.56, 4 Pd 2.57
Pd  0.5000  0.5000  0.5000  4 P 2.57
O  0.0000  0.5000  0.0000  2 Cu 1.81



8.
# CuP2PdO6

A relaxed CuP2PdO6 crystal (GGA-PBE, Alexandria via LeMat-Bulk).

Summary:
- total moment (μB per formula unit) = 1.1
- uncorrected formation energy (eV/atom) = -1.43
- VASP energy (eV/atom) = -6.42
- calculated volume (Å³/cell) = 591.47

Lattice parameters (Å, degrees): 12.3126 10.2755 4.7067 90.00 96.65 90.00
Last column: nearest neighbours and their distance in Å.
Space group C2/c (No. 15)
Asymmetric unit:
Cu  0.0000  0.1470  0.2500  2 O 1.84
P  0.2351  0.4118  0.7061  4 O 1.49-1.62
Pd  0.0000  0.2870  0.7500  2 O 2.07
O  0.1436  0.1014  0.2349  1 P 1.49
O  0.1676  0.2928  0.7451  1 P 1.50
O  0.1970  0.4669  0.3905  2 P 1.61-1.62



9.
# CuP2PdO

A relaxed CuP2PdO crystal (GGA-PBE, Alexandria via LeMat-Bulk).

Summary:
- total moment (μB per formula unit) = 0.0
- uncorrected formation energy (eV/atom) = 0.48
- offset from the most stable computed form (meV per atom) = 0
- VASP energy (eV/atom) = -4.53
- calculated volume (Å³/cell) = 74.78

Lattice parameters (Å, degrees): 4.6351 4.6351 3.4807 90.00 90.00 90.00
Last column: nearest neighbours and their distance in Å.
Space group P4/mmm (No. 123)
Asymmetric unit:
Cu  0.0000  0.0000  0.0000  2 O 1.74
P  0.0000  0.5000  0.0000  2 Cu 2.32
Pd  0.5000  0.5000  0.5000  8 P 2.90
O  0.0000  0.0000  0.5000  2 Cu 1.74



10.
# PmCuPO4

A relaxed PmCuPO4 crystal (GGA-PBE, Alexandria via LeMat-Bulk).

Summary:
- total moment (μB per formula unit) = 0.0
- uncorrected formation energy (eV/atom) = -2.07
- VASP energy (eV/atom) = -6.94
- calculated volume (Å³/cell) = 367.57

Lattice parameters (Å, degrees): 5.6785 7.8324 8.2645 90.00 90.00 90.00
Last column: nearest neighbours and their distance in Å.
Space group Imma (No. 74)
Asymmetric unit:
Pm  0.0000  0.0000  0.0000  6 O 2.41-2.50
Cu  0.2500  0.2500  0.2500  2 O 2.14
P  0.0000  0.2500  0.6221  4 O 1.53-1.59
O  0.0000  0.0835  0.7195  1 P 1.53
O  0.2257  0.2500  0.5088  1 P 1.59



11.
# Pm2CuPO6

A relaxed Pm2CuPO6 crystal (GGA-PBE, Alexandria via LeMat-Bulk).

Summary:
- total moment (μB per formula unit) = 0.0
- uncorrected formation energy (eV/atom) = -2.37
- VASP energy (eV/atom) = -7.24
- calculated volume (Å³/cell) = 124.95

Lattice parameters (Å, degrees): 5.2063 5.2063 4.6096 90.00 90.00 90.00
Last column: nearest neighbours and their distance in Å.
Space group P4mm (No. 99)
Asymmetric unit:
Pm  0.0000  0.5000  0.0000  6 O 2.36-2.63
Cu  0.0000  0.0000  0.4882  1 O 1.88
P  0.5000  0.5000  0.5878  5 O 1.60-1.68
O  0.0000  0.0000  0.0796  1 Cu 1.88
O  0.2806  0.2806  0.6843  1 P 1.68
O  0.5000  0.5000  0.2402  1 P 1.60



12.
# PmCuPO

A relaxed PmCuPO crystal (GGA-PBE, Alexandria via LeMat-Bulk).

Summary:
- total moment (μB per formula unit) = 0.0
- uncorrected formation energy (eV/atom) = -1.72
- VASP energy (eV/atom) = -6.52
- calculated volume (Å³/cell) = 130.24

Lattice parameters (Å, degrees): 3.9829 3.9829 8.2103 90.00 90.00 90.00
Last column: nearest neighbours and their distance in Å.
Space group P4/nmm (No. 129, origin choice 2)
Asymmetric unit:
Pm  0.2500  0.2500  0.1445  4 O 2.32
Cu  0.2500  0.7500  0.5000  4 P 2.35
P  0.2500  0.2500  0.6514  4 Cu 2.35
O  0.2500  0.7500  0.0000  4 Pm 2.32